Record 1
## Cs3Cr5Cl12 (GGA-PBE)

Data for crystalline Cs3Cr5Cl12 at its relaxed geometry.

## Properties
Space-group type   No. 230
Energy   -4.798 eV/atom
Mass density   3.07 g/cm³

Unit cell a=14.4955 b=14.4955 c=14.4955 alpha=109.47 beta=109.47 gamma=109.47
Sites, in units of the cell vectors:
Cs: 0.1250 0.2500 0.3750
Cs: 0.1250 0.3750 0.7500
Cs: 0.2500 0.3750 0.1250
Cs: 0.2500 0.8750 0.6250
Cs: 0.3750 0.1250 0.2500
Cs: 0.3750 0.7500 0.1250
Cs: 0.6250 0.2500 0.8750
Cs: 0.6250 0.8750 0.7500
Cs: 0.7500 0.1250 0.3750
Cs: 0.7500 0.6250 0.8750
Cs: 0.8750 0.6250 0.2500
Cs: 0.8750 0.7500 0.6250
Cr: 0.0000 0.0000 0.0000
Cr: 0.0000 0.0000 0.5000
Cr: 0.0000 0.5000 0.0000
Cr: 0.0000 0.5000 0.5000
Cr: 0.1250 0.7500 0.8750
Cr: 0.1250 0.8750 0.2500
Cr: 0.2500 0.1250 0.8750
Cr: 0.2500 0.6250 0.3750
Cr: 0.3750 0.2500 0.6250
Cr: 0.3750 0.6250 0.7500
Cr: 0.5000 0.0000 0.0000
Cr: 0.5000 0.0000 0.5000
Cr: 0.5000 0.5000 0.0000
Cr: 0.5000 0.5000 0.5000
Cr: 0.6250 0.3750 0.2500
Cr: 0.6250 0.7500 0.3750
Cr: 0.7500 0.3750 0.6250
Cr: 0.7500 0.8750 0.1250
Cr: 0.8750 0.1250 0.7500
Cr: 0.8750 0.2500 0.1250
Cl: 0.0021 0.1816 0.1006
Cl: 0.0021 0.3205 0.9015
Cl: 0.0811 0.6816 0.6795
Cl: 0.0811 0.8994 0.4015
Cl: 0.0985 0.6006 0.4189
Cl: 0.0985 0.9979 0.6795
Cl: 0.1006 0.0021 0.1816
Cl: 0.1006 0.5985 0.9189
Cl: 0.1795 0.1816 0.5811
Cl: 0.1795 0.4979 0.5985
Cl: 0.1816 0.1006 0.0021
Cl: 0.1816 0.5811 0.1795
Cl: 0.3184 0.3205 0.9189
Cl: 0.3184 0.4979 0.3994
Cl: 0.3205 0.9015 0.0021
Cl: 0.3205 0.9189 0.3184
Cl: 0.3994 0.3184 0.4979
Cl: 0.3994 0.5811 0.9015
Cl: 0.4015 0.0811 0.8994
Cl: 0.4015 0.8205 0.5021
Cl: 0.4189 0.0985 0.6006
Cl: 0.4189 0.8205 0.8184
Cl: 0.4979 0.3994 0.3184
Cl: 0.4979 0.5985 0.1795
Cl: 0.5021 0.4015 0.8205
Cl: 0.5021 0.6006 0.6816
Cl: 0.5811 0.1795 0.1816
Cl: 0.5811 0.9015 0.3994
Cl: 0.5985 0.1795 0.4979
Cl: 0.5985 0.9189 0.1006
Cl: 0.6006 0.4189 0.0985
Cl: 0.6006 0.6816 0.5021
Cl: 0.6795 0.0811 0.6816
Cl: 0.6795 0.0985 0.9979
Cl: 0.6816 0.5021 0.6006
Cl: 0.6816 0.6795 0.0811
Cl: 0.8184 0.4189 0.8205
Cl: 0.8184 0.8994 0.9979
Cl: 0.8205 0.5021 0.4015
Cl: 0.8205 0.8184 0.4189
Cl: 0.8994 0.4015 0.0811
Cl: 0.8994 0.9979 0.8184
Cl: 0.9015 0.0021 0.3205
Cl: 0.9015 0.3994 0.5811
Cl: 0.9189 0.1006 0.5985
Cl: 0.9189 0.3184 0.3205
Cl: 0.9979 0.6795 0.0985
Cl: 0.9979 0.8184 0.8994

=====

Record 2
## CsCrCl6 (GGA-PBE)

Data for crystalline CsCrCl6 at its relaxed geometry.

## Properties
Space-group type   No. 12
Energy   -3.693 eV/atom
Mass density   2.76 g/cm³

Unit cell a=8.1933 b=9.5843 c=6.3002 alpha=90.00 beta=104.39 gamma=90.00
Sites, in units of the cell vectors:
Cs: 0.0000 0.0000 0.0000
Cs: 0.5000 0.5000 0.0000
Cr: 0.0000 0.5000 0.5000
Cr: 0.5000 0.0000 0.5000
Cl: 0.0913 0.3329 0.7571
Cl: 0.0913 0.6671 0.7571
Cl: 0.2443 0.0000 0.5781
Cl: 0.2557 0.5000 0.4219
Cl: 0.4087 0.1671 0.2429
Cl: 0.4087 0.8329 0.2429
Cl: 0.5913 0.1671 0.7571
Cl: 0.5913 0.8329 0.7571
Cl: 0.7443 0.5000 0.5781
Cl: 0.7557 0.0000 0.4219
Cl: 0.9087 0.3329 0.2429
Cl: 0.9087 0.6671 0.2429

=====

Record 3
## CsCr2Cl6 (GGA-PBE)

Data for crystalline CsCr2Cl6 at its relaxed geometry.

## Properties
Space-group type   No. 162
Energy   -4.736 eV/atom
Mass density   2.68 g/cm³

Unit cell a=6.4081 b=6.4081 c=7.8196 alpha=90.00 beta=90.00 gamma=120.00
Sites, in units of the cell vectors:
Cs: 0.0000 0.0000 0.0000
Cr: 0.3333 0.6667 0.5000
Cr: 0.6667 0.3333 0.5000
Cl: 0.0000 0.3744 0.6745
Cl: 0.0000 0.6256 0.3255
Cl: 0.3744 0.0000 0.6745
Cl: 0.3744 0.3744 0.3255
Cl: 0.6256 0.0000 0.3255
Cl: 0.6256 0.6256 0.6745

=====

Record 4
## CsCrCl4 (GGA-PBE)

Data for crystalline CsCrCl4 at its relaxed geometry.

## Properties
Space-group type   No. 15
Energy   -4.345 eV/atom
Mass density   3.27 g/cm³

Unit cell a=9.1167 b=9.1167 c=6.4595 alpha=109.27 beta=109.27 gamma=41.38
Sites, in units of the cell vectors:
Cs: 0.2185 0.7815 0.7500
Cs: 0.7815 0.2185 0.2500
Cr: 0.0000 0.5000 0.0000
Cr: 0.5000 0.0000 0.5000
Cl: 0.1522 0.2948 0.2945
Cl: 0.2040 0.5832 0.1525
Cl: 0.2948 0.1522 0.7945
Cl: 0.4168 0.7960 0.3475
Cl: 0.5832 0.2040 0.6525
Cl: 0.7052 0.8478 0.2055
Cl: 0.7960 0.4168 0.8475
Cl: 0.8478 0.7052 0.7055

=====

Record 5
## Cs3CrCl (GGA-PBE)

Data for crystalline Cs3CrCl at its relaxed geometry.

## Properties
Space-group type   No. 221
Energy   -3.023 eV/atom
Mass density   2.62 g/cm³

Unit cell a=6.7508 b=6.7508 c=6.7508 alpha=90.00 beta=90.00 gamma=90.00
Sites, in units of the cell vectors:
Cs: 0.0000 0.0000 0.5000
Cs: 0.0000 0.5000 0.0000
Cs: 0.5000 0.0000 0.0000
Cr: 0.5000 0.5000 0.5000
Cl: 0.0000 0.0000 0.0000

=====

Record 6
## CsCrCuCl6 (GGA-PBE)

Data for crystalline CsCrCuCl6 at its relaxed geometry.

## Properties
Space-group type   No. 149
Energy   -3.949 eV/atom
Mass density   2.84 g/cm³

Unit cell a=6.3049 b=6.3049 c=7.8449 alpha=90.00 beta=90.00 gamma=120.00
Sites, in units of the cell vectors:
Cs: 0.0000 0.0000 0.0000
Cr: 0.6667 0.3333 0.5000
Cu: 0.3333 0.6667 0.5000
Cl: 0.3770 0.0132 0.3282
Cl: 0.3770 0.3639 0.6718
Cl: 0.6361 0.0132 0.6718
Cl: 0.6361 0.6230 0.3282
Cl: 0.9868 0.3639 0.3282
Cl: 0.9868 0.6230 0.6718

=====

In μB/cell, the magnetization values for the records above are, in order, 84.000 1.898 7.000 6.000 5.788 1.998.
In Å³ per cell, the calculated volume values for the records above are, in order, 2344.7 479.2 278.1 332.1 307.7 270.1.
In eV per formula unit, the uncorrected formation energy values for the records above are, in order, -23.12 -7.98 -11.45 -8.21 -1.09 -9.89.